DFT (GGA-PBE) results for an optimized crystal structure of Sc5Al2Ir2Rh. Values from VASP.

Calculated values
- energy of formation from the pure elements (meV/atom) = -631
- spin magnetization (μB per formula unit) = 0.00
- VASP energy (eV for the cell shown) = -141.1
- volume (A^3/atom) = 19.7
- SG = P4/mbm, No. 127

Structure (Quantum ESPRESSO input):
```
&SYSTEM
  ibrav = 0, nat = 20, ntyp = 4
/
ATOMIC_SPECIES
Sc 44.96 Sc.upf
Ir 192.22 Ir.upf
Al 26.98 Al.upf
Rh 102.91 Rh.upf
CELL_PARAMETERS angstrom
-2.6442 0.0163 2.0507
6.0055 -4.5783 7.7799
2.8436 9.8281 3.5885
ATOMIC_POSITIONS angstrom
Sc 1.6806 -2.2810 4.9153
Sc 2.1392 4.1897 5.4551
Ir 2.5628 -0.2846 3.3068
Sc 1.3847 7.6269 4.4551
Ir 6.2863 5.5344 8.0617
Ir 6.1960 -0.3948 7.9924
Al 4.2745 6.6064 5.4591
Sc 4.0658 1.0764 7.9641
Al 4.5747 -1.3566 5.9094
Rh 0.0000 0.0000 0.0000
Sc 2.1424 1.0514 5.4842
Sc 0.0310 -0.2012 2.7718
Sc 6.1739 5.4672 10.6474
Al 6.8657 2.8948 8.8297
Sc 4.8202 -2.3609 8.9641
Al 1.9835 2.3549 2.5388
Rh 4.4246 2.6249 5.6842
Sc 0.0997 4.9222 2.8196
Ir 2.6531 5.6445 3.3761
Sc 4.0625 4.2146 7.9350
```